## NaSrCa2Ga (PBE)

Data for an optimized crystal structure of NaSrCa2Ga.

Cell and atoms, written as CIF:
```
data_NaSrCa2Ga
_symmetry_space_group_name_H-M 'P 1'
_symmetry_Int_Tables_number 1
_symmetry_space_group_name_Hall 'P 1'
_cell_length_a 5.8956
_cell_length_b 5.8956
_cell_length_c 6.2350
_cell_angle_alpha 90.00
_cell_angle_beta 90.00
_cell_angle_gamma 90.00
loop_
_atom_site_label
_atom_site_type_symbol
_atom_site_fract_x
_atom_site_fract_y
_atom_site_fract_z
Na1 Na 0.0000 0.0000 0.0000
Sr1 Sr 0.5000 0.5000 0.0000
Ca1 Ca 0.0000 0.5000 0.5000
Ca2 Ca 0.5000 0.0000 0.5000
Ga1 Ga 0.5000 0.5000 0.5000
```

- Total moment: 0.000 μB per atom
- ΔH_f (0 K): -80 meV/atom
- E: -2.09 eV/atom
- SG: P4/mmm, No. 123
- Energy above the most stable polymorph in this dataset: 0.000 eV per atom

## NaCaTbGa (PBE)

Data for an optimized crystal structure of NaCaTbGa.

Cell and atoms, written as CIF:
```
data_NaCaTbGa
_symmetry_space_group_name_H-M 'P 1'
_symmetry_Int_Tables_number 1
_symmetry_space_group_name_Hall 'P 1'
_cell_length_a 5.3307
_cell_length_b 5.3307
_cell_length_c 5.3307
_cell_angle_alpha 60.00
_cell_angle_beta 60.00
_cell_angle_gamma 60.00
loop_
_atom_site_label
_atom_site_type_symbol
_atom_site_fract_x
_atom_site_fract_y
_atom_site_fract_z
Na1 Na 0.0000 0.0000 0.0000
Ca1 Ca 0.7500 0.7500 0.7500
Tb1 Tb 0.2500 0.2500 0.2500
Ga1 Ga 0.5000 0.5000 0.5000
```

- Total moment: 0.000 μB per atom
- ΔH_f (0 K): -128 meV/atom
- E: -2.87 eV/atom
- SG: F-43m, No. 216

## NaCaGa2Te (PBE)

Data for an optimized crystal structure of NaCaGa2Te.

Cell and atoms, written as CIF:
```
data_NaCaGa2Te
_symmetry_space_group_name_H-M 'P 1'
_symmetry_Int_Tables_number 1
_symmetry_space_group_name_Hall 'P 1'
_cell_length_a 5.1260
_cell_length_b 5.1260
_cell_length_c 5.9660
_cell_angle_alpha 90.00
_cell_angle_beta 90.00
_cell_angle_gamma 90.00
loop_
_atom_site_label
_atom_site_type_symbol
_atom_site_fract_x
_atom_site_fract_y
_atom_site_fract_z
Na1 Na 0.0000 0.0000 0.0000
Ca1 Ca 0.0000 0.0000 0.5000
Ga1 Ga 0.0000 0.5000 0.0000
Ga2 Ga 0.5000 0.0000 0.0000
Te1 Te 0.5000 0.5000 0.5000
```

- Total moment: 0.000 μB per atom
- ΔE_f (raw): 0.24 eV/atom
- E: -2.26 eV/atom
- SG: P4/mmm, No. 123

## NaCaTlGa (PBE)

Data for an optimized crystal structure of NaCaTlGa.

Cell and atoms, written as CIF:
```
data_NaCaTlGa
_symmetry_space_group_name_H-M 'P 1'
_symmetry_Int_Tables_number 1
_symmetry_space_group_name_Hall 'P 1'
_cell_length_a 5.2971
_cell_length_b 5.2971
_cell_length_c 5.2971
_cell_angle_alpha 60.00
_cell_angle_beta 60.00
_cell_angle_gamma 60.00
loop_
_atom_site_label
_atom_site_type_symbol
_atom_site_fract_x
_atom_site_fract_y
_atom_site_fract_z
Na1 Na 0.0000 0.0000 0.0000
Ca1 Ca 0.5000 0.5000 0.5000
Tl1 Tl 0.7500 0.7500 0.7500
Ga1 Ga 0.2500 0.2500 0.2500
```

- Total moment: 0.000 μB per atom
- ΔH_f (0 K): -205 meV/atom
- E: -2.38 eV/atom
- SG: F-43m, No. 216

## NaCaTmGa (PBE)

Data for an optimized crystal structure of NaCaTmGa.

Cell and atoms, written as CIF:
```
data_NaCaTmGa
_symmetry_space_group_name_H-M 'P 1'
_symmetry_Int_Tables_number 1
_symmetry_space_group_name_Hall 'P 1'
_cell_length_a 5.2905
_cell_length_b 5.2905
_cell_length_c 5.2905
_cell_angle_alpha 60.00
_cell_angle_beta 60.00
_cell_angle_gamma 60.00
loop_
_atom_site_label
_atom_site_type_symbol
_atom_site_fract_x
_atom_site_fract_y
_atom_site_fract_z
Na1 Na 0.0000 0.0000 0.0000
Ca1 Ca 0.7500 0.7500 0.7500
Tm1 Tm 0.2500 0.2500 0.2500
Ga1 Ga 0.5000 0.5000 0.5000
```

- Total moment: 0.000 μB per atom
- ΔH_f (0 K): -101 meV/atom
- E: -2.81 eV/atom
- SG: F-43m, No. 216

## NaCaYGa (PBE)

Data for an optimized crystal structure of NaCaYGa.

Cell and atoms, written as CIF:
```
data_NaCaYGa
_symmetry_space_group_name_H-M 'P 1'
_symmetry_Int_Tables_number 1
_symmetry_space_group_name_Hall 'P 1'
_cell_length_a 5.3278
_cell_length_b 5.3278
_cell_length_c 5.3278
_cell_angle_alpha 60.00
_cell_angle_beta 60.00
_cell_angle_gamma 60.00
loop_
_atom_site_label
_atom_site_type_symbol
_atom_site_fract_x
_atom_site_fract_y
_atom_site_fract_z
Na1 Na 0.0000 0.0000 0.0000
Ca1 Ca 0.7500 0.7500 0.7500
Y1 Y 0.2500 0.2500 0.2500
Ga1 Ga 0.5000 0.5000 0.5000
```

- Total moment: 0.000 μB per atom
- ΔH_f (0 K): -141 meV/atom
- E: -3.34 eV/atom
- SG: F-43m, No. 216

## NaCaZnGa (PBE)

Data for an optimized crystal structure of NaCaZnGa.

Cell and atoms, written as CIF:
```
data_NaCaZnGa
_symmetry_space_group_name_H-M 'P 1'
_symmetry_Int_Tables_number 1
_symmetry_space_group_name_Hall 'P 1'
_cell_length_a 4.9182
_cell_length_b 4.9182
_cell_length_c 4.9182
_cell_angle_alpha 60.00
_cell_angle_beta 60.00
_cell_angle_gamma 60.00
loop_
_atom_site_label
_atom_site_type_symbol
_atom_site_fract_x
_atom_site_fract_y
_atom_site_fract_z
Na1 Na 0.0000 0.0000 0.0000
Ca1 Ca 0.2500 0.2500 0.2500
Zn1 Zn 0.5000 0.5000 0.5000
Ga1 Ga 0.7500 0.7500 0.7500
```

- Total moment: 0.000 μB per atom
- ΔH_f (0 K): -120 meV/atom
- E: -2.03 eV/atom
- SG: F-43m, No. 216

## CaNbGa2 (PBE)

Data for an optimized crystal structure of CaNbGa2.

Cell and atoms, written as CIF:
```
data_CaNbGa2
_symmetry_space_group_name_H-M 'P 1'
_symmetry_Int_Tables_number 1
_symmetry_space_group_name_Hall 'P 1'
_cell_length_a 3.5001
_cell_length_b 3.5001
_cell_length_c 6.5791
_cell_angle_alpha 90.00
_cell_angle_beta 90.00
_cell_angle_gamma 90.00
loop_
_atom_site_label
_atom_site_type_symbol
_atom_site_fract_x
_atom_site_fract_y
_atom_site_fract_z
Ca1 Ca 0.0000 0.0000 0.0000
Nb1 Nb 0.0000 0.0000 0.5000
Ga1 Ga 0.5000 0.5000 0.2989
Ga2 Ga 0.5000 0.5000 0.7011
```

- Total moment: 0.189 μB per atom
- ΔH_f (0 K): -220 meV/atom
- E: -4.75 eV/atom
- SG: P4/mmm, No. 123

## CaNb2Ga (PBE)

Data for an optimized crystal structure of CaNb2Ga.

Cell and atoms, written as CIF:
```
data_CaNb2Ga
_symmetry_space_group_name_H-M 'P 1'
_symmetry_Int_Tables_number 1
_symmetry_space_group_name_Hall 'P 1'
_cell_length_a 10.5189
_cell_length_b 10.5189
_cell_length_c 10.5189
_cell_angle_alpha 155.73
_cell_angle_beta 155.73
_cell_angle_gamma 34.59
loop_
_atom_site_label
_atom_site_type_symbol
_atom_site_fract_x
_atom_site_fract_y
_atom_site_fract_z
Ca1 Ca 0.0000 0.0000 0.0000
Ca2 Ca 0.7500 0.2500 0.5000
Nb1 Nb 0.2607 0.6250 0.1357
Nb2 Nb 0.3750 0.5107 0.6357
Nb3 Nb 0.4893 0.1250 0.8643
Nb4 Nb 0.8750 0.7393 0.3643
Ga1 Ga 0.2500 0.7500 0.5000
Ga2 Ga 0.5000 0.5000 0.0000
```

- Total moment: 0.000 μB per atom
- ΔH_f (0 K): 632 meV/atom
- E: -5.66 eV/atom
- SG: I-42d, No. 122

## Ca3NbGa (PBE)

Data for an optimized crystal structure of Ca3NbGa.

Cell and atoms, written as CIF:
```
data_Ca3NbGa
_symmetry_space_group_name_H-M 'P 1'
_symmetry_Int_Tables_number 1
_symmetry_space_group_name_Hall 'P 1'
_cell_length_a 5.5597
_cell_length_b 5.5597
_cell_length_c 5.5597
_cell_angle_alpha 90.00
_cell_angle_beta 90.00
_cell_angle_gamma 90.00
loop_
_atom_site_label
_atom_site_type_symbol
_atom_site_fract_x
_atom_site_fract_y
_atom_site_fract_z
Ca1 Ca 0.0000 0.0000 0.5000
Ca2 Ca 0.0000 0.5000 0.0000
Ca3 Ca 0.5000 0.0000 0.0000
Nb1 Nb 0.0000 0.0000 0.0000
Ga1 Ga 0.5000 0.5000 0.5000
```

- Total moment: 0.000 μB per atom
- ΔH_f (0 K): 903 meV/atom
- E: -2.92 eV/atom
- SG: Pm-3m, No. 221
- Energy above the most stable polymorph in this dataset: 0.225 eV per atom

## Ca3NbGa (PBE)

Data for an optimized crystal structure of Ca3NbGa.

Cell and atoms, written as CIF:
```
data_Ca3NbGa
_symmetry_space_group_name_H-M 'P 1'
_symmetry_Int_Tables_number 1
_symmetry_space_group_name_Hall 'P 1'
_cell_length_a 5.6452
_cell_length_b 5.6452
_cell_length_c 5.6452
_cell_angle_alpha 90.00
_cell_angle_beta 90.00
_cell_angle_gamma 90.00
loop_
_atom_site_label
_atom_site_type_symbol
_atom_site_fract_x
_atom_site_fract_y
_atom_site_fract_z
Ca1 Ca 0.0000 0.0000 0.5000
Ca2 Ca 0.0000 0.5000 0.0000
Ca3 Ca 0.5000 0.0000 0.0000
Nb1 Nb 0.5000 0.5000 0.5000
Ga1 Ga 0.0000 0.0000 0.0000
```

- Total moment: 0.800 μB per atom
- ΔH_f (0 K): 677 meV/atom
- E: -3.14 eV/atom
- SG: Pm-3m, No. 221
- Energy above the most stable polymorph in this dataset: 0.000 eV per atom

- Look up the total moment of the ninth one.
  0.000 μB per atom